# 1
DFT (PBE) results for crystalline Rb2NiAsS4 at its relaxed geometry.

Unit cell a=6.1664 b=7.4865 c=11.7780 alpha=83.81 beta=74.82 gamma=65.68
Last column: nearest neighbours and their distance in Å.
Element x y z (fractional)
Rb  0.1754  0.0000  0.6491  8 S 3.46-3.83
Rb  0.8246  0.0000  0.3509  8 S 3.46-3.83
Rb  0.5746  0.5000  0.8509  8 S 3.46-3.83
Rb  0.9254  0.5000  0.1491  8 S 3.46-3.83
Ni  0.7500  0.5000  0.5000  4 S 2.29
Ni  0.0000  0.0000  0.0000  4 S 2.29
As  0.2500  0.5000  0.5000  4 S 2.23
As  0.5000  0.0000  0.0000  4 S 2.23
S  0.3056  0.8111  0.0917  1 As 2.23, 1 Ni 2.29
S  0.2084  0.1889  0.9083  1 As 2.23, 1 Ni 2.29
S  0.8833  0.8111  0.9083  1 As 2.23, 1 Ni 2.29
S  0.6027  0.1889  0.0917  1 As 2.23, 1 Ni 2.29
S  0.4444  0.6889  0.4083  1 As 2.23, 1 Ni 2.29
S  0.5416  0.3111  0.5917  1 As 2.23, 1 Ni 2.29
S  0.8667  0.6889  0.5917  1 As 2.23, 1 Ni 2.29
S  0.1473  0.3111  0.4083  1 As 2.23, 1 Ni 2.29

Calculated values
Space group ... Fddd (70)
DOS(E_F) ... 5.459 states/eV/cell
Electronic total energy ... -4.14 eV per atom


# 2
DFT (PBE) results for crystalline LiTeOs2 at its relaxed geometry.

Unit cell a=4.7375 b=4.7375 c=4.7564 alpha=82.42 beta=82.42 gamma=36.63
Last column: nearest neighbours and their distance in Å.
Element x y z (fractional)
Li  0.2500  0.2500  0.2500  6 Os 2.58-2.84, 4 Te 2.81
Os  0.0072  0.0072  0.0181  3 Li 2.58-2.84, 2 Os 2.65, 3 Te 2.79-2.80
Os  0.4928  0.4928  0.4819  3 Li 2.58-2.84, 2 Os 2.65, 3 Te 2.79-2.80
Te  0.7500  0.7500  0.7500  6 Os 2.79-2.80, 4 Li 2.81, 2 Te 2.98

Calculated values
Space group ... C2/m (12)
DOS(E_F) ... 3.996 states/eV/cell
Electronic total energy ... -6.39 eV per atom


# 3
DFT (PBE) results for crystalline Sr3La3Si4 at its relaxed geometry.

Unit cell a=4.5743 b=8.0183 c=8.0183 alpha=91.00 beta=90.00 gamma=90.00
Last column: nearest neighbours and their distance in Å.
Element x y z (fractional)
Sr  0.0000  0.4964  0.9982  4 Si 3.22-3.32
Sr  0.0000  0.0018  0.5036  4 Si 3.22-3.32
Sr  0.5000  0.1739  0.8261  6 Si 3.32-3.46, 4 Sr 3.70
La  0.5000  0.8268  0.1732  6 Si 3.22-3.36
La  0.5000  0.3276  0.3243  6 Si 3.22-3.34
La  0.5000  0.6757  0.6724  6 Si 3.22-3.34
Si  0.0000  0.6118  0.3882  1 Si 2.41
Si  0.0000  0.4009  0.5991  1 Si 2.41
Si  0.0000  0.8830  0.8979  1 Si 2.46
Si  0.0000  0.1021  0.1170  1 Si 2.46

Calculated values
Space group ... Amm2 (38)
DOS(E_F) ... 8.725 states/eV/cell
Electronic total energy ... -4.67 eV per atom


# 4
DFT (PBE) results for crystalline LaP2RhCl at its relaxed geometry.

Unit cell a=5.5391 b=5.5391 c=5.3413 alpha=90.00 beta=90.00 gamma=90.00
Last column: nearest neighbours and their distance in Å.
Element x y z (fractional)
P  0.0000  0.5000  0.0000  2 La 2.77
P  0.5000  0.0000  0.0000  2 La 2.77
Cl  0.0000  0.0000  0.5000  2 La 2.67
Rh  0.5000  0.5000  0.5000  8 P 3.85, 4 Cl 3.92
La  0.0000  0.0000  0.0000  2 Cl 2.67, 4 P 2.77

Calculated values
Polymorph energy (0 for the lowest one) ... 1350 meV per atom
Space group ... P4/mmm (123)
DOS(E_F) ... 8.323 states/eV/cell


# 5
DFT (PBE) results for crystalline Li3AcZn8 at its relaxed geometry.

Unit cell a=5.3429 b=5.3429 c=8.9089 alpha=90.00 beta=90.00 gamma=120.00
Last column: nearest neighbours and their distance in Å.
Element x y z (fractional)
Li  0.6667  0.3333  0.3898  1 Li 2.92, 9 Zn 2.99-3.21
Li  0.6667  0.3333  0.0622  4 Li 2.92-3.24, 12 Zn 2.98-3.13
Li  0.0000  0.0000  0.9515  12 Zn 2.98-3.12, 3 Li 3.24
Ac  0.0000  0.0000  0.5632  12 Zn 3.15-3.27, 4 Li 3.45-3.46
Zn  0.3333  0.6667  0.4902  6 Zn 2.73-2.98
Zn  0.3333  0.6667  0.0053  6 Zn 2.59-2.60
Zn  0.5034  0.0069  0.7737  5 Zn 2.59-2.73
Zn  0.5034  0.4966  0.7737  5 Zn 2.59-2.73
Zn  0.9931  0.4966  0.7737  5 Zn 2.59-2.73
Zn  0.1644  0.3288  0.2389  6 Zn 2.60-2.73
Zn  0.1644  0.8356  0.2389  6 Zn 2.60-2.73
Zn  0.6712  0.8356  0.2389  6 Zn 2.60-2.73

Calculated values
Space group ... P3m1 (156)
DOS(E_F) ... 5.213 states/eV/cell
Electronic total energy ... -1.83 eV per atom


# 6
DFT (PBE) results for crystalline TbPm2ErSe6 at its relaxed geometry.

Unit cell a=7.3139 b=7.3140 c=7.7637 alpha=61.90 beta=61.90 gamma=59.99
Last column: nearest neighbours and their distance in Å.
Element x y z (fractional)
Tb  0.3184  0.3183  0.0450  6 Se 2.85-2.92
Pm  0.5179  0.5179  0.4464  6 Se 2.92-3.00
Pm  0.0185  0.0186  0.9445  6 Se 2.92-3.00
Er  0.8191  0.8192  0.5425  6 Se 2.83-2.88
Se  0.6069  0.2074  0.2572  1 Tb 2.85, 1 Er 2.88, 2 Pm 2.92-3.00
Se  0.2073  0.9285  0.2571  1 Tb 2.85, 1 Er 2.88, 2 Pm 2.92-3.00
Se  0.9286  0.6070  0.2572  1 Tb 2.85, 1 Er 2.88, 2 Pm 2.92-3.00
Se  0.4325  0.7096  0.7551  1 Er 2.83, 1 Tb 2.92, 2 Pm 2.92-3.00
Se  0.7096  0.1026  0.7551  1 Er 2.83, 1 Tb 2.92, 2 Pm 2.92-3.00
Se  0.1027  0.4326  0.7552  1 Er 2.83, 1 Tb 2.92, 2 Pm 2.92-3.00

Calculated values
Space group ... R3 (146)
DOS(E_F) ... 0.000 states/eV/cell
Electronic total energy ... -5.81 eV per atom


# 7
DFT (PBE) results for crystalline Cd2HPt5 at its relaxed geometry.

Unit cell a=5.5656 b=5.5656 c=5.7390 alpha=119.01 beta=119.01 gamma=90.00
Last column: nearest neighbours and their distance in Å.
Element x y z (fractional)
Cd  0.2513  0.7513  0.5026  10 Pt 2.78-2.87
Cd  0.7513  0.2513  0.5026  10 Pt 2.78-2.87
H  0.0273  0.0273  0.0546  4 Pt 1.99
Pt  0.7496  0.2516  0.0012  1 H 1.99
Pt  0.2516  0.2516  0.0012  1 H 1.99
Pt  0.7496  0.7496  0.0013  1 H 1.99
Pt  0.2516  0.7496  0.0012  1 H 1.99
Pt  0.7446  0.7446  0.4892  1 H 2.36

Calculated values
Space group ... I4mm (107)
DOS(E_F) ... 5.702 states/eV/cell
Electronic total energy ... -4.57 eV per atom


# 8
DFT (PBE) results for crystalline PH2PbI at its relaxed geometry.

Unit cell a=4.1789 b=5.9005 c=4.1789 alpha=90.00 beta=90.00 gamma=90.00
Last column: nearest neighbours and their distance in Å.
Element x y z (fractional)
Pb  0.5000  0.5000  0.5000  4 P 2.95
I  0.0000  0.0000  0.0000  4 H 2.09
H  0.0000  0.0000  0.5000  2 I 2.09
H  0.5000  0.0000  0.0000  2 I 2.09
P  0.0000  0.5000  0.0000  2 I 2.95, 4 Pb 2.95

Calculated values
Space group ... P4/mmm (123)
DOS(E_F) ... 2.604 states/eV/cell
Electronic total energy ... -2.76 eV per atom